No. 1
Computed, not measured: a geometry-optimized Si3AgRu structure at the PBE-GGA level of DFT.

Results
The calculation puts the energy above the lowest structure with this stoichiometry at 0.000 eV/atom. For the total energy, the calculation gives -5.19 eV/atom.

Cell: 4.6359 4.6359 4.6359 Å, 90.00 90.00 90.00°
Fractional positions:
Si 0.0000 0.0000 0.5000
Si 0.0000 0.5000 0.0000
Si 0.5000 0.0000 0.0000
Ag 0.5000 0.5000 0.5000
Ru 0.0000 0.0000 0.0000

=====

No. 2
Computed, not measured: a geometry-optimized Si2AgRu structure at the PBE-GGA level of DFT.

Results
The calculation puts the energy above the lowest structure with this stoichiometry at 0.273 eV/atom. For the total energy, the calculation gives -5.58 eV/atom.

Cell: 4.0228 4.0228 7.1337 Å, 90.00 90.00 90.00°
Fractional positions:
Si 0.0000 0.5000 0.2500
Si 0.0000 0.5000 0.7500
Si 0.5000 0.0000 0.2500
Si 0.5000 0.0000 0.7500
Ag 0.0000 0.0000 0.0000
Ag 0.5000 0.5000 0.5000
Ru 0.0000 0.0000 0.5000
Ru 0.5000 0.5000 0.0000

=====

No. 3
Computed, not measured: a geometry-optimized SiAgRu2 structure at the PBE-GGA level of DFT.

Results
For the total energy, the calculation gives -6.55 eV/atom.

Cell: 4.3368 4.3368 3.0220 Å, 90.00 90.00 90.00°
Fractional positions:
Si 0.0000 0.0000 0.0000
Ag 0.5000 0.5000 0.0000
Ru 0.0000 0.5000 0.5000
Ru 0.5000 0.0000 0.5000

=====

No. 4
Computed, not measured: a geometry-optimized SiAg3Ru structure at the PBE-GGA level of DFT.

Results
The calculation puts the energy above the lowest structure with this stoichiometry at 0.000 eV/atom. For the total energy, the calculation gives -3.62 eV/atom.

Cell: 4.6577 4.6577 4.6577 Å, 90.00 90.00 90.00°
Fractional positions:
Si 0.0000 0.0000 0.0000
Ag 0.0000 0.0000 0.5000
Ag 0.0000 0.5000 0.0000
Ag 0.5000 0.0000 0.0000
Ru 0.5000 0.5000 0.5000

=====

No. 5
Computed, not measured: a geometry-optimized SiAgRu2 structure at the PBE-GGA level of DFT.

Results
For the total energy, the calculation gives -6.32 eV/atom.

Cell: 2.8096 4.4516 4.7052 Å, 90.00 90.00 90.00°
Fractional positions:
Si 0.0000 0.0000 0.0000
Ag 0.5000 0.0000 0.5000
Ru 0.0000 0.5000 0.5000
Ru 0.5000 0.5000 0.0000

=====

No. 6
Computed, not measured: a geometry-optimized SiAgRu2 structure at the PBE-GGA level of DFT.

Results
For the total energy, the calculation gives -6.34 eV/atom.

Cell: 2.8551 4.7251 8.9617 Å, 90.00 90.00 90.00°
Fractional positions:
Si 0.0000 0.0000 0.0000
Si 0.5000 0.5000 0.0000
Ag 0.0000 0.5000 0.2606
Ag 0.5000 0.0000 0.2606
Ru 0.0000 0.0000 0.5381
Ru 0.0000 0.5000 0.7866
Ru 0.5000 0.0000 0.7866
Ru 0.5000 0.5000 0.5381

=====

No. 7
Computed, not measured: a geometry-optimized Si2AgRu structure at the PBE-GGA level of DFT.

Results
The calculation puts the energy above the lowest structure with this stoichiometry at 0.350 eV/atom. For the total energy, the calculation gives -5.50 eV/atom.

Cell: 5.6479 8.1998 3.0053 Å, 90.00 117.51 90.00°
Fractional positions:
Si 0.2500 0.2500 0.0000
Si 0.2500 0.7500 0.0000
Si 0.7500 0.2500 0.0000
Si 0.7500 0.7500 0.0000
Ag 0.0000 0.0000 0.0000
Ag 0.5000 0.5000 0.0000
Ru 0.0000 0.5000 0.0000
Ru 0.5000 0.0000 0.0000

=====

No. 8
Computed, not measured: a geometry-optimized Si2AgRu structure at the PBE-GGA level of DFT.

Results
The calculation puts the energy above the lowest structure with this stoichiometry at 0.035 eV/atom. For the total energy, the calculation gives -5.81 eV/atom.

Cell: 2.9367 2.9367 24.3501 Å, 90.00 90.00 120.00°
Fractional positions:
Si 0.0000 0.0000 0.2403
Si 0.0000 0.0000 0.7597
Si 0.3333 0.6667 0.4264
Si 0.3333 0.6667 0.9070
Si 0.6667 0.3333 0.0930
Si 0.6667 0.3333 0.5736
Ag 0.0000 0.0000 0.0000
Ag 0.3333 0.6667 0.6667
Ag 0.6667 0.3333 0.3333
Ru 0.0000 0.0000 0.5000
Ru 0.3333 0.6667 0.1667
Ru 0.6667 0.3333 0.8333

=====

No. 9
Computed, not measured: a geometry-optimized Si2AgRu structure at the PBE-GGA level of DFT.

Results
The calculation puts the energy above the lowest structure with this stoichiometry at 0.112 eV/atom. For the total energy, the calculation gives -5.74 eV/atom.

Cell: 3.0249 4.4744 4.3388 Å, 90.00 90.10 90.00°
Fractional positions:
Si 0.0000 0.0000 0.0000
Si 0.4990 0.5000 0.7955
Ag 0.5006 0.0000 0.5010
Ru 0.0006 0.5000 0.2385

=====

No. 10
Computed, not measured: a geometry-optimized Si2AgRu structure at the PBE-GGA level of DFT.

Results
The calculation puts the energy above the lowest structure with this stoichiometry at 0.273 eV/atom. For the total energy, the calculation gives -5.58 eV/atom.

Cell: 2.9571 2.9571 23.9510 Å, 90.00 90.00 120.00°
Fractional positions:
Si 0.0000 0.0000 0.0000
Si 0.0000 0.0000 0.2558
Si 0.3333 0.6667 0.6667
Si 0.3333 0.6667 0.9225
Si 0.6667 0.3333 0.3333
Si 0.6667 0.3333 0.5891
Ag 0.0000 0.0000 0.7532
Ag 0.3333 0.6667 0.4199
Ag 0.6667 0.3333 0.0865
Ru 0.0000 0.0000 0.5193
Ru 0.3333 0.6667 0.1859
Ru 0.6667 0.3333 0.8526

=====

No. 11
Computed, not measured: a geometry-optimized Si2AgRu structure at the PBE-GGA level of DFT.

Results
The calculation puts the energy above the lowest structure with this stoichiometry at 0.000 eV/atom. For the total energy, the calculation gives -5.85 eV/atom.

Cell: 2.7977 2.9603 7.5618 Å, 90.00 90.00 90.00°
Fractional positions:
Si 0.0000 0.0000 0.1990
Si 0.0000 0.0000 0.8010
Ag 0.5000 0.0000 0.5000
Ru 0.5000 0.5000 0.0000

=====

No. 12
Computed, not measured: a geometry-optimized Si2AgRu structure at the PBE-GGA level of DFT.

Results
The calculation puts the energy above the lowest structure with this stoichiometry at 0.107 eV/atom. For the total energy, the calculation gives -5.74 eV/atom.

Cell: 8.3006 3.4886 4.3505 Å, 90.00 106.39 90.00°
Fractional positions:
Si 0.0000 0.0000 0.0000
Si 0.2226 0.0000 0.6590
Si 0.5000 0.5000 0.0000
Si 0.7226 0.5000 0.6590
Ag 0.2520 0.5000 0.2198
Ag 0.7520 0.0000 0.2198
Ru 0.0097 0.5000 0.6130
Ru 0.5097 0.0000 0.6130

=====

No. 13
Computed, not measured: a geometry-optimized Si2AgRu structure at the PBE-GGA level of DFT.

Results
The calculation puts the energy above the lowest structure with this stoichiometry at 0.260 eV/atom. For the total energy, the calculation gives -5.59 eV/atom.

Cell: 3.7285 3.7285 8.2726 Å, 90.00 90.00 90.00°
Fractional positions:
Si 0.0000 0.0000 0.0000
Si 0.0000 0.5000 0.2500
Si 0.5000 0.0000 0.7500
Si 0.5000 0.5000 0.5000
Ag 0.0000 0.5000 0.7500
Ag 0.5000 0.0000 0.2500
Ru 0.0000 0.0000 0.5000
Ru 0.5000 0.5000 0.0000

=====

No. 14
Computed, not measured: a geometry-optimized SiAg3Ru structure at the PBE-GGA level of DFT.

Results
The calculation puts the energy above the lowest structure with this stoichiometry at 0.544 eV/atom. For the total energy, the calculation gives -3.08 eV/atom.

Cell: 5.0268 5.0268 5.0268 Å, 90.00 90.00 90.00°
Fractional positions:
Si 0.0000 0.0000 0.0000
Ag 0.0000 0.5000 0.5000
Ag 0.5000 0.0000 0.5000
Ag 0.5000 0.5000 0.0000
Ru 0.5000 0.5000 0.5000

=====

No. 15
Computed, not measured: a geometry-optimized Si2AgRu structure at the PBE-GGA level of DFT.

Results
The calculation puts the energy above the lowest structure with this stoichiometry at 0.274 eV/atom. For the total energy, the calculation gives -5.58 eV/atom.

Cell: 4.4316 4.4316 2.9461 Å, 90.00 90.00 90.00°
Fractional positions:
Si 0.0000 0.5000 0.0000
Si 0.5000 0.0000 0.0000
Ag 0.0000 0.0000 0.5000
Ru 0.5000 0.5000 0.5000

=====

No. 16
Computed, not measured: a geometry-optimized Si2AgRu structure at the PBE-GGA level of DFT.

Results
The calculation puts the energy above the lowest structure with this stoichiometry at 0.529 eV/atom. For the total energy, the calculation gives -5.32 eV/atom.

Cell: 5.6219 5.6219 10.7807 Å, 90.00 90.00 90.00°
Fractional positions:
Si 0.2114 0.2500 0.1250
Si 0.2500 0.7114 0.3750
Si 0.2500 0.7886 0.8750
Si 0.2886 0.2500 0.6250
Si 0.7114 0.7500 0.6250
Si 0.7500 0.2114 0.8750
Si 0.7500 0.2886 0.3750
Si 0.7886 0.7500 0.1250
Ag 0.0000 0.0000 0.5000
Ag 0.0000 0.5000 0.7500
Ag 0.5000 0.0000 0.2500
Ag 0.5000 0.5000 0.0000
Ru 0.0000 0.0000 0.0000
Ru 0.0000 0.5000 0.2500
Ru 0.5000 0.0000 0.7500
Ru 0.5000 0.5000 0.5000

=====

No. 17
Computed, not measured: a geometry-optimized Si2AgRu structure at the PBE-GGA level of DFT.

Results
The calculation puts the energy above the lowest structure with this stoichiometry at 0.117 eV/atom. For the total energy, the calculation gives -5.73 eV/atom.

Cell: 2.8669 2.8669 7.5296 Å, 90.00 90.00 90.00°
Fractional positions:
Si 0.0000 0.0000 0.2018
Si 0.0000 0.0000 0.7982
Ag 0.5000 0.5000 0.5000
Ru 0.5000 0.5000 0.0000

=====

No. 18
Computed, not measured: a geometry-optimized Si2AgRu structure at the PBE-GGA level of DFT.

Results
The calculation puts the energy above the lowest structure with this stoichiometry at 0.586 eV/atom. For the total energy, the calculation gives -5.26 eV/atom.

Cell: 6.2353 6.2353 6.2353 Å, 90.00 90.00 90.00°
Fractional positions:
Si 0.0000 0.0000 0.0000
Si 0.0000 0.5000 0.5000
Si 0.2500 0.2500 0.2500
Si 0.2500 0.7500 0.7500
Si 0.5000 0.0000 0.5000
Si 0.5000 0.5000 0.0000
Si 0.7500 0.2500 0.7500
Si 0.7500 0.7500 0.2500
Ag 0.0000 0.0000 0.5000
Ag 0.0000 0.5000 0.0000
Ag 0.5000 0.0000 0.0000
Ag 0.5000 0.5000 0.5000
Ru 0.2500 0.2500 0.7500
Ru 0.2500 0.7500 0.2500
Ru 0.7500 0.2500 0.2500
Ru 0.7500 0.7500 0.7500

=====

No. 19
Computed, not measured: a geometry-optimized SiAgRu2 structure at the PBE-GGA level of DFT.

Results
For the total energy, the calculation gives -6.43 eV/atom.

Cell: 3.9058 3.9058 7.5516 Å, 90.00 90.00 90.00°
Fractional positions:
Si 0.0000 0.0000 0.0000
Si 0.5000 0.5000 0.5000
Ag 0.0000 0.5000 0.7500
Ag 0.5000 0.0000 0.2500
Ru 0.0000 0.0000 0.5000
Ru 0.0000 0.5000 0.2500
Ru 0.5000 0.0000 0.7500
Ru 0.5000 0.5000 0.0000

=====

No. 20
Computed, not measured: a geometry-optimized SiTcAg2Ru structure at the PBE-GGA level of DFT.

Results
For the total energy, the calculation gives -4.50 eV/atom.

Cell: 5.0982 5.0982 4.4852 Å, 90.00 90.00 90.00°
Fractional positions:
Si 0.0000 0.0000 0.0000
Tc 0.5000 0.5000 0.5000
Ag 0.0000 0.5000 0.5000
Ag 0.5000 0.0000 0.5000
Ru 0.5000 0.5000 0.0000